No. 1
Computed, not measured: Na3CrHg after structural relaxation at the PBE level of DFT.

Computed properties:
- Space-group type: No. 221
- DOS at the Fermi energy: 3.1 states/eV/f.u.
- Final energy: -2.13 eV/atom
- Relative energy among the computed polymorphs: 50 meV per atom
- ΔE_f: 14.83 kcal/mol of atoms

Cell lengths 5.8622, 5.8622, 5.8622 Å; angles 90.00, 90.00, 90.00 degrees
Closest atoms and distances in Å follow each position.
Element x y z (fractional)
Cr 0.0000 0.0000 0.0000  6 Na 2.93
Hg 0.5000 0.5000 0.5000  12 Na 4.15
Na 0.0000 0.5000 0.0000  2 Cr 2.93
Na 0.0000 0.0000 0.5000  2 Cr 2.93
Na 0.5000 0.0000 0.0000  2 Cr 2.93

---

No. 2
Computed, not measured: Na3CrHg after structural relaxation at the PBE level of DFT.

Computed properties:
- Space-group type: No. 221
- DOS at the Fermi energy: 2.9 states/eV/f.u.
- Final energy: -2.18 eV/atom
- Relative energy among the computed polymorphs: 0 meV per atom
- ΔE_f: 13.68 kcal/mol of atoms

Cell lengths 5.6715, 5.6715, 5.6715 Å; angles 90.00, 90.00, 90.00 degrees
Closest atoms and distances in Å follow each position.
Element x y z (fractional)
Cr 0.5000 0.5000 0.5000  12 Na 4.01
Hg 0.0000 0.0000 0.0000  6 Na 2.84
Na 0.0000 0.5000 0.0000  2 Hg 2.84
Na 0.0000 0.0000 0.5000  2 Hg 2.84
Na 0.5000 0.0000 0.0000  2 Hg 2.84

---

No. 3
Computed, not measured: Na2CrHg after structural relaxation at the PBE level of DFT.

Computed properties:
- Space-group type: No. 122
- DOS at the Fermi energy: 1.5 states/eV/f.u.
- Final energy: -2.68 eV/atom
- ΔE_f: 10.54 kcal/mol of atoms

Cell lengths 8.5095, 8.5095, 6.6790 Å; angles 50.43, 50.43, 90.00 degrees
Closest atoms and distances in Å follow each position.
Element x y z (fractional)
Cr 0.5000 0.5000 0.0000  2 Hg 2.90, 4 Na 3.17
Cr 0.2500 0.7500 0.5000  2 Hg 2.90, 4 Na 3.17
Hg 0.0000 0.0000 0.0000  2 Cr 2.90, 4 Na 3.02
Hg 0.7500 0.2500 0.5000  2 Cr 2.90, 4 Na 3.02
Na 0.6373 0.1250 0.2500  2 Na 2.91, 2 Hg 3.02, 2 Cr 3.17
Na 0.1127 0.6250 0.2500  2 Na 2.91, 2 Hg 3.02, 2 Cr 3.17
Na 0.3750 0.3627 0.7500  2 Na 2.91, 2 Hg 3.02, 2 Cr 3.17
Na 0.8750 0.8873 0.7500  2 Na 2.91, 2 Hg 3.02, 2 Cr 3.17

---

No. 4
Computed, not measured: Na2CrHg2 after structural relaxation at the PBE level of DFT.

Computed properties:
- Space-group type: No. 139
- DOS at the Fermi energy: 2.9 states/eV/f.u.
- Final energy: -2.15 eV/atom
- Relative energy among the computed polymorphs: 0 meV per atom
- ΔE_f: 9.84 kcal/mol of atoms

Cell lengths 4.2075, 4.2075, 8.7084 Å; angles 76.02, 76.02, 90.00 degrees
Closest atoms and distances in Å follow each position.
Element x y z (fractional)
Cr 0.0000 0.0000 0.0000  8 Na 3.40
Hg 0.7500 0.2500 0.5000  4 Hg 2.98, 4 Na 3.23
Hg 0.2500 0.7500 0.5000  4 Hg 2.98, 4 Na 3.23
Na 0.4001 0.4001 0.1999  4 Hg 3.23, 1 Na 3.27, 4 Cr 3.40
Na 0.5999 0.5999 0.8001  4 Hg 3.23, 1 Na 3.27, 4 Cr 3.40